No. 1
GGA-PBEsol Ba2SrZr, relaxed; magnetic moment = 0.03 μB per cell; distance to the lowest polymorph of the same formula = 0.000 eV per formula unit; crystal system = orthorhombic
1.0
3.864 -5.440 0.000
3.864 5.440 0.000
0.000 0.000 3.778
Ba Sr Zr
2 1 1
Direct
0.000 0.500 0.000 Ba
0.500 0.000 0.000 Ba
0.000 0.000 0.500 Sr
0.500 0.500 0.500 Zr

No. 2
GGA-PBEsol BaSr2Zr, relaxed; uncorrected energy = -3.17 eV/atom; magnetic moment = 1.37 μB per cell; crystal system = orthorhombic
1.0
3.774 -5.619 0.000
3.774 5.619 0.000
0.000 0.000 3.679
Ba Sr Zr
1 2 1
Direct
0.000 0.000 0.000 Ba
0.000 0.500 0.500 Sr
0.500 0.000 0.500 Sr
0.500 0.500 0.000 Zr

No. 3
GGA-PBEsol BaTa3, relaxed; magnetic moment = 0.00 μB per cell; distance to the lowest polymorph of the same formula = 13.261 eV per formula unit; crystal system = cubic
1.0
5.080 0.000 0.000
0.000 5.080 0.000
0.000 0.000 5.080
Ba Ta
1 3
Direct
0.000 0.000 0.000 Ba
0.000 0.000 0.500 Ta
0.000 0.500 0.000 Ta
0.500 0.000 0.000 Ta

No. 4
GGA-PBEsol Ba2Ta, relaxed; uncorrected energy = -4.82 eV/atom; magnetic moment = 0.00 μB per cell; crystal system = monoclinic
1.0
8.832 -1.750 0.000
8.832 1.750 0.000
-2.115 0.000 7.174
Ba Ta
4 2
Direct
0.110 0.110 0.069 Ba
0.161 0.161 0.615 Ba
0.839 0.839 0.385 Ba
0.890 0.890 0.931 Ba
0.498 0.498 0.665 Ta
0.502 0.502 0.335 Ta

No. 5
GGA-PBEsol BaTa3, relaxed; magnetic moment = 0.00 μB per cell; distance to the lowest polymorph of the same formula = 1.152 eV per formula unit; crystal system = orthorhombic
1.0
2.919 -5.063 0.000
2.919 5.063 0.000
0.000 0.000 2.846
Ba Ta
1 3
Direct
0.000 0.000 0.000 Ba
0.000 0.500 0.500 Ta
0.500 0.000 0.500 Ta
0.500 0.500 0.000 Ta

No. 6
GGA-PBEsol BaTa3, relaxed; magnetic moment = 0.00 μB per cell; distance to the lowest polymorph of the same formula = 0.000 eV per formula unit; crystal system = hexagonal
1.0
3.187 0.000 0.000
-1.593 2.760 0.000
0.000 0.000 10.144
Ba Ta
1 3
Direct
0.000 0.000 0.000 Ba
0.000 0.000 0.500 Ta
0.333 0.667 0.298 Ta
0.333 0.667 0.702 Ta

No. 7
GGA-PBEsol BaTaTc, relaxed; uncorrected energy = -7.88 eV/atom; magnetic moment = 0.00 μB per cell; crystal system = trigonal
1.0
3.288 0.000 0.000
-1.644 2.848 0.000
0.000 0.000 7.518
Ba Ta Tc
1 1 1
Direct
0.000 0.000 0.000 Ba
0.333 0.667 0.580 Ta
0.667 0.333 0.364 Tc

No. 8
GGA-PBEsol Ba4TaTc, relaxed; uncorrected energy = -3.60 eV/atom; magnetic moment = 6.18 μB per cell; crystal system = cubic
1.0
0.000 4.716 4.716
4.716 0.000 4.716
4.716 4.716 0.000
Ba Ta Tc
4 1 1
Direct
0.125 0.125 0.125 Ba
0.125 0.125 0.625 Ba
0.125 0.625 0.125 Ba
0.625 0.125 0.125 Ba
0.750 0.750 0.750 Ta
0.500 0.500 0.500 Tc